Entry 1:
This record from Alexandria describes an optimized crystal structure of TaAsSe2. The functional is GGA-PBE.

a = 5.051 Å, b = 5.051 Å, c = 5.721 Å
α = 75.39°, β = 75.39°, γ = 38.12°
Positions (direct):
As (0.169, 0.169, 0.260)
Se (0.997, 0.997, 0.994)
Se (0.814, 0.814, 0.615)
Ta (0.519, 0.519, 0.631)

Results
The volume is 21.70 Å³/atom. As for the raw formation energy: -0.340 eV per atom. The space group is Cm. The total magnetization comes out at 0.0000 μB per atom. The calculation puts the uncorrected energy at -6.208 eV/atom.

Entry 2:
This record from Alexandria describes an optimized crystal structure of TaAsSe2. The functional is GGA-PBE.

a = 7.262 Å, b = 7.262 Å, c = 7.262 Å
α = 153.98°, β = 144.31°, γ = 44.70°
Positions (direct):
As (0.644, 0.144, 0.500)
Se (0.037, 0.037, 0.000)
Se (0.337, 0.837, 0.500)
Ta (0.481, 0.481, 0.000)

Results
The volume is 24.44 Å³/atom. As for the raw formation energy: -0.108 eV per atom. The space group is Imm2. The total magnetization comes out at 0.0000 μB per atom. The calculation puts the uncorrected energy at -5.976 eV/atom.

Entry 3:
This record from Alexandria describes an optimized crystal structure of TaAs2Se. The functional is GGA-PBE.

a = 8.472 Å, b = 8.472 Å, c = 8.472 Å
α = 22.45°, β = 22.45°, γ = 22.45°
Positions (direct):
As (0.009, 0.009, 0.009)
As (0.491, 0.491, 0.491)
Se (0.250, 0.250, 0.250)
Ta (0.750, 0.750, 0.750)

Results
The volume is 19.45 Å³/atom. As for the raw formation energy: 0.066 eV per atom. The space group is R-3m. The total magnetization comes out at 0.0000 μB per atom. The calculation puts the uncorrected energy at -6.093 eV/atom.

Entry 4:
This record from Alexandria describes an optimized crystal structure of TaAs4Se. The functional is GGA-PBE.

a = 5.467 Å, b = 5.467 Å, c = 5.467 Å
α = 60.00°, β = 60.00°, γ = 60.00°
Positions (direct):
Ta (0.000, 0.000, 0.000)
As (0.877, 0.374, 0.374)
As (0.374, 0.374, 0.877)
As (0.374, 0.877, 0.374)
As (0.374, 0.374, 0.374)
Se (0.750, 0.750, 0.750)

Results
The volume is 19.26 Å³/atom. As for the raw formation energy: 0.652 eV per atom. The space group is F-43m. The total magnetization comes out at 0.0000 μB per atom. The calculation puts the uncorrected energy at -5.004 eV/atom.

Entry 5:
This record from Alexandria describes an optimized crystal structure of TaAs2Se. The functional is GGA-PBE.

a = 4.937 Å, b = 3.906 Å, c = 4.484 Å
α = 74.33°, β = 90.00°, γ = 90.00°
Positions (direct):
As (0.000, 0.935, 0.933)
As (0.000, 0.565, 0.567)
Se (0.500, 0.250, 0.250)
Ta (0.500, 0.750, 0.750)

Results
The volume is 20.81 Å³/atom. As for the raw formation energy: 0.053 eV per atom. The space group is P2/m. The total magnetization comes out at 0.0000 μB per atom. The calculation puts the uncorrected energy at -6.106 eV/atom.

Entry 6:
This record from Alexandria describes an optimized crystal structure of TaAsSe2. The functional is GGA-PBE.

a = 3.360 Å, b = 3.360 Å, c = 7.523 Å
α = 90.00°, β = 90.00°, γ = 90.00°
Positions (direct):
As (0.500, 0.500, 0.721)
Se (0.000, 0.000, 0.903)
Se (0.500, 0.500, 0.336)
Ta (0.000, 0.000, 0.540)

Results
The volume is 21.24 Å³/atom. As for the raw formation energy: -0.228 eV per atom. The space group is P4mm. The total magnetization comes out at 0.0000 μB per atom. The calculation puts the uncorrected energy at -6.096 eV/atom.

Entry 7:
This record from Alexandria describes an optimized crystal structure of TaAsSe2. The functional is GGA-PBE.

a = 7.076 Å, b = 7.076 Å, c = 4.544 Å
α = 79.94°, β = 79.94°, γ = 26.87°
Positions (direct):
As (0.250, 0.250, 0.250)
Se (0.103, 0.103, 0.941)
Se (0.397, 0.397, 0.559)
Ta (0.750, 0.750, 0.750)

Results
The volume is 25.29 Å³/atom. As for the raw formation energy: -0.194 eV per atom. The space group is C2/m. The total magnetization comes out at 0.0000 μB per atom. The calculation puts the uncorrected energy at -6.062 eV/atom.

Entry 8:
This record from Alexandria describes an optimized crystal structure of TaAs2Se. The functional is GGA-PBE.

a = 3.410 Å, b = 3.410 Å, c = 6.325 Å
α = 90.00°, β = 90.00°, γ = 90.00°
Positions (direct):
As (0.000, 0.000, 0.964)
As (0.000, 0.000, 0.536)
Se (0.500, 0.500, 0.250)
Ta (0.500, 0.500, 0.750)

Results
The volume is 18.38 Å³/atom. As for the raw formation energy: -0.051 eV per atom. The space group is P4/mmm. The total magnetization comes out at 0.0000 μB per atom. The calculation puts the uncorrected energy at -6.210 eV/atom.